No. 1
! Ba2SrCa3 PBE-GGA relaxed; values from VASP
! **Fermi-level density of states**: 19.1 states/eV per cell
! **Distance to the lowest polymorph of the same formula**: 0.027 eV per atom
&SYSTEM
  ibrav = 0, nat = 12, ntyp = 3
/
ATOMIC_SPECIES
Ba 137.33 Ba.upf
Sr 87.62 Sr.upf
Ca 40.08 Ca.upf
CELL_PARAMETERS angstrom
7.1397 1.9816 -2.3624
1.1417 7.3211 -2.3624
-1.4204 -1.5955 13.1470
ATOMIC_POSITIONS crystal
Ba 0.7500 0.2500 0.5000
Ba 0.2495 0.7505 0.0000
Ba 0.2500 0.7500 0.5000
Ba 0.7505 0.2495 0.0000
Sr 0.6667 0.6667 0.3334
Sr 0.3333 0.3333 0.6666
Ca 0.3280 0.3280 0.1648
Ca 0.1632 0.1632 0.8352
Ca 0.6720 0.6720 0.8352
Ca 0.8368 0.8368 0.1648
Ca 0.1644 0.1644 0.3288
Ca 0.8356 0.8356 0.6712

=====

No. 2
! Ba6Sr16Ca7 PBE-GGA relaxed; values from VASP
! **Fermi-level density of states**: 30.6 states/eV per cell
! **E_tot**: -50.88 eV per formula unit
&SYSTEM
  ibrav = 0, nat = 29, ntyp = 3
/
ATOMIC_SPECIES
Ba 137.33 Ba.upf
Sr 87.62 Sr.upf
Ca 40.08 Ca.upf
CELL_PARAMETERS angstrom
11.4678 0.0000 6.6209
3.8226 10.8120 6.6209
0.0000 0.0000 13.2419
ATOMIC_POSITIONS crystal
Ba 0.2082 0.7918 0.2082
Ba 0.7918 0.2082 0.7918
Ba 0.2082 0.7918 0.7918
Ba 0.7918 0.2082 0.2082
Ba 0.2082 0.2082 0.7918
Ba 0.7918 0.7918 0.2082
Sr 0.5093 0.8302 0.8302
Sr 0.8302 0.5093 0.8302
Sr 0.8302 0.8302 0.8302
Sr 0.8302 0.8302 0.5093
Sr 0.1698 0.4907 0.1698
Sr 0.4907 0.1698 0.1698
Sr 0.1698 0.1698 0.1698
Sr 0.1698 0.1698 0.4907
Sr 0.1472 0.6176 0.6176
Sr 0.6176 0.1472 0.6176
Sr 0.6176 0.6176 0.6176
Sr 0.6176 0.6176 0.1472
Sr 0.3824 0.8528 0.3824
Sr 0.8528 0.3824 0.3824
Sr 0.3824 0.3824 0.3824
Sr 0.3824 0.3824 0.8528
Ca 0.5000 0.5000 0.5000
Ca 0.5000 0.0000 0.5000
Ca 0.0000 0.5000 0.0000
Ca 0.5000 0.0000 0.0000
Ca 0.0000 0.5000 0.5000
Ca 0.5000 0.5000 0.0000
Ca 0.0000 0.0000 0.5000

=====

No. 3
! Ba4SrCa7 PBE-GGA relaxed; values from VASP
! **Fermi-level density of states**: 20.9 states/eV per cell
! **Distance to the lowest polymorph of the same formula**: 0.004 eV per atom
&SYSTEM
  ibrav = 0, nat = 12, ntyp = 3
/
ATOMIC_SPECIES
Ba 137.33 Ba.upf
Sr 87.62 Sr.upf
Ca 40.08 Ca.upf
CELL_PARAMETERS angstrom
6.6480 0.0000 1.8069
3.0148 6.7352 2.0413
-0.0912 -2.7131 13.4688
ATOMIC_POSITIONS crystal
Ba 0.6282 0.5292 0.2143
Ba 0.3718 0.4708 0.7857
Ba 0.8230 0.7144 0.6396
Ba 0.1770 0.2856 0.3604
Sr 0.0000 0.0000 0.0000
Ca 0.7851 0.5048 0.9251
Ca 0.2149 0.4952 0.0749
Ca 0.0908 0.1166 0.7019
Ca 0.9092 0.8834 0.2981
Ca 0.3738 0.7710 0.4814
Ca 0.5000 0.0000 0.0000
Ca 0.6262 0.2290 0.5186

=====

No. 4
! BaSr4Ca PBE-GGA relaxed; values from VASP
! **Fermi-level density of states**: 6.2 states/eV per cell
! **Distance to the lowest polymorph of the same formula**: 0.092 eV per atom
&SYSTEM
  ibrav = 0, nat = 6, ntyp = 3
/
ATOMIC_SPECIES
Ba 137.33 Ba.upf
Sr 87.62 Sr.upf
Ca 40.08 Ca.upf
CELL_PARAMETERS angstrom
0.0000 5.5462 5.5462
5.5462 0.0000 5.5462
5.5462 5.5462 0.0000
ATOMIC_POSITIONS crystal
Ba 0.7500 0.7500 0.7500
Sr 0.8762 0.3746 0.3746
Sr 0.3746 0.3746 0.8762
Sr 0.3746 0.8762 0.3746
Sr 0.3746 0.3746 0.3746
Ca 0.0000 0.0000 0.0000

=====

No. 5
! BaSrCa4 PBE-GGA relaxed; values from VASP
! **Fermi-level density of states**: 5.9 states/eV per cell
! **Distance to the lowest polymorph of the same formula**: 0.000 eV per atom
&SYSTEM
  ibrav = 0, nat = 6, ntyp = 3
/
ATOMIC_SPECIES
Ba 137.33 Ba.upf
Ca 40.08 Ca.upf
Sr 87.62 Sr.upf
CELL_PARAMETERS angstrom
-4.0089 -0.5409 6.3073
-7.4410 -0.8106 -0.3480
-3.1496 -6.5313 1.8889
ATOMIC_POSITIONS crystal
Ba 0.0000 0.0000 0.0000
Ca 0.1256 0.6248 0.6248
Ca 0.6248 0.6248 0.6248
Ca 0.6248 0.1256 0.6248
Ca 0.6248 0.6248 0.1256
Sr 0.2500 0.2500 0.2500

=====

No. 6
! Ba2Sr6Ca5 PBE-GGA relaxed; values from VASP
! **Fermi-level density of states**: 32.6 states/eV per cell
! **E_tot**: -23.13 eV per formula unit
&SYSTEM
  ibrav = 0, nat = 26, ntyp = 3
/
ATOMIC_SPECIES
Ba 137.33 Ba.upf
Sr 87.62 Sr.upf
Ca 40.08 Ca.upf
CELL_PARAMETERS angstrom
4.1011 0.0000 0.0000
0.0000 13.8519 0.0000
0.0000 0.0000 23.6561
ATOMIC_POSITIONS crystal
Ba 0.0000 0.3382 0.2866
Ba 0.0000 0.6618 0.7134
Ba 0.0000 0.8382 0.2134
Ba 0.0000 0.1618 0.7866
Sr 0.0000 0.0700 0.3638
Sr 0.0000 0.9300 0.6362
Sr 0.0000 0.5700 0.1362
Sr 0.0000 0.4300 0.8638
Sr 0.5000 0.3081 0.1186
Sr 0.5000 0.6919 0.8814
Sr 0.5000 0.8081 0.3814
Sr 0.5000 0.1919 0.6186
Sr 0.0000 0.5478 0.4217
Sr 0.0000 0.4522 0.5783
Sr 0.0000 0.0478 0.0783
Sr 0.0000 0.9522 0.9217
Ca 0.5000 0.2856 0.4518
Ca 0.5000 0.7144 0.5482
Ca 0.5000 0.7856 0.0482
Ca 0.5000 0.2144 0.9518
Ca 0.5000 0.5954 0.2773
Ca 0.5000 0.4046 0.7227
Ca 0.5000 0.0954 0.2227
Ca 0.5000 0.9046 0.7773
Ca 0.5000 0.5000 0.0000
Ca 0.5000 0.0000 0.5000

=====

No. 7
! Ba5Sr7Ca PBE-GGA relaxed; values from VASP
! **Fermi-level density of states**: 32.7 states/eV per cell
! **E_tot**: -23.02 eV per formula unit
&SYSTEM
  ibrav = 0, nat = 26, ntyp = 3
/
ATOMIC_SPECIES
Ba 137.33 Ba.upf
Sr 87.62 Sr.upf
Ca 40.08 Ca.upf
CELL_PARAMETERS angstrom
4.2639 0.0000 0.0000
-2.1319 13.9848 3.1425
0.0000 5.0018 26.1725
ATOMIC_POSITIONS crystal
Ba 0.0004 0.0009 0.0001
Ba 0.7716 0.5432 0.9203
Ba 0.2294 0.4587 0.0796
Ba 0.5266 0.0533 0.3426
Ba 0.4737 0.9473 0.6573
Ba 0.0001 0.0003 0.5000
Ba 0.2618 0.5236 0.4237
Ba 0.7384 0.4769 0.5764
Ba 0.5439 0.0879 0.8395
Ba 0.4568 0.9136 0.1606
Sr 0.2964 0.5929 0.2590
Sr 0.7041 0.4081 0.7409
Sr 0.6143 0.2287 0.0413
Sr 0.3866 0.7732 0.9587
Sr 0.3792 0.7583 0.4757
Sr 0.6211 0.2422 0.5243
Sr 0.0752 0.1504 0.1930
Sr 0.9256 0.8513 0.8069
Sr 0.8546 0.7093 0.6296
Sr 0.1457 0.2914 0.3703
Sr 0.8443 0.6886 0.1122
Sr 0.1566 0.3132 0.8878
Sr 0.0980 0.1960 0.6817
Sr 0.9022 0.8044 0.3184
Ca 0.6858 0.3716 0.2267
Ca 0.3148 0.6297 0.7732

=====

No. 8
! Ba2Sr7Ca4 PBE-GGA relaxed; values from VASP
! **Fermi-level density of states**: 18.3 states/eV per cell
! **E_tot**: -21.53 eV per formula unit
&SYSTEM
  ibrav = 0, nat = 13, ntyp = 3
/
ATOMIC_SPECIES
Ba 137.33 Ba.upf
Sr 87.62 Sr.upf
Ca 40.08 Ca.upf
CELL_PARAMETERS angstrom
-4.1435 3.5750 5.4878
0.8930 -7.6956 0.2148
11.3648 1.5305 7.5838
ATOMIC_POSITIONS crystal
Ba 0.6667 0.3333 0.0000
Ba 0.3333 0.6667 0.0000
Sr 0.0000 0.5016 0.7435
Sr 0.0000 0.4984 0.2565
Sr 0.0000 0.0000 0.0000
Sr 0.5016 0.0000 0.7435
Sr 0.4984 0.0000 0.2565
Sr 0.5016 0.5016 0.2565
Sr 0.4984 0.4984 0.7435
Ca 0.0000 0.0000 0.6363
Ca 0.0000 0.0000 0.3637
Ca 0.6667 0.3333 0.5000
Ca 0.3333 0.6667 0.5000